# 1
# Zr2RhCl

A PBEsol-optimized structure of Zr2RhCl (meta-GGA SCAN, Alexandria via LeMat-Bulk).

Lattice parameters (Å, degrees): 3.0340 3.0340 7.3996 90.00 90.00 90.00
Sites, in units of the cell vectors:
Zr 0.0000 0.0000 0.2576
Cl 0.5000 0.5000 0.0000
Rh 0.5000 0.5000 0.5000
Zr 0.0000 0.0000 0.7424

Output
- crystal system = tetragonal
- calculated volume (Å³ per cell) = 68.12
- N(E_F) (states/eV/cell) = 2.07
- E above lowest polymorph (meV/atom) = 144
- energy relative to the elements, uncorrected (eV/f.u.) = -3.11
- total energy (eV per atom) = -26.5643


# 2
# KGaSn3

A PBEsol-optimized structure of KGaSn3 (meta-GGA SCAN, Alexandria via LeMat-Bulk).

Lattice parameters (Å, degrees): 5.7380 5.7380 5.7380 90.00 90.00 90.00
Sites, in units of the cell vectors:
Sn 0.5000 0.0000 0.0000
Sn 0.0000 0.0000 0.5000
K 0.0000 0.0000 0.0000
Sn 0.0000 0.5000 0.0000
Ga 0.5000 0.5000 0.5000

Output
- crystal system = cubic
- calculated volume (Å³ per cell) = 188.92
- E_form (eV per atom) = 1.23
- N(E_F) (states/eV/cell) = 2.97
- total energy (eV per atom) = -25.2583


# 3
# FeSiRh2

A PBEsol-optimized structure of FeSiRh2 (meta-GGA SCAN, Alexandria via LeMat-Bulk).

Lattice parameters (Å, degrees): 2.7916 2.7916 6.4857 90.00 90.00 90.00
Last column: magnetic moment on the atom in μB.
Sites, in units of the cell vectors:
Fe 0.5000 0.5000 0.5000  3.31
Rh 0.0000 0.0000 0.2240  0.28
Rh 0.0000 0.0000 0.7760  0.28
Si 0.5000 0.5000 0.0000  0.00

Output
- crystal system = tetragonal
- calculated volume (Å³ per cell) = 50.54
- N(E_F) (states/eV/cell) = 1.89
- energy relative to the elements, uncorrected (eV/f.u.) = -2.56
- total energy (eV per atom) = -24.5612


# 4
# AlZn2Cu

A PBEsol-optimized structure of AlZn2Cu (meta-GGA SCAN, Alexandria via LeMat-Bulk).

Lattice parameters (Å, degrees): 2.8503 4.5484 4.5484 111.73 90.00 90.00
Sites, in units of the cell vectors:
Cu 0.5000 0.5000 0.5000
Zn 0.0000 0.0000 0.5000
Zn 0.0000 0.5000 0.0000
Al 0.5000 0.0000 0.0000

Output
- crystal system = orthorhombic
- calculated volume (Å³ per cell) = 54.78
- E_form (eV per atom) = -0.05
- N(E_F) (states/eV/cell) = 1.29
- total energy (eV per atom) = -12.5408


# 5
# Mg2AlZn

A PBEsol-optimized structure of Mg2AlZn (meta-GGA SCAN, Alexandria via LeMat-Bulk).

Lattice parameters (Å, degrees): 2.9254 5.1346 5.1346 109.31 90.00 90.00
Sites, in units of the cell vectors:
Mg 0.0000 0.0000 0.5000
Mg 0.0000 0.5000 0.0000
Al 0.5000 0.5000 0.5000
Zn 0.5000 0.0000 0.0000

Output
- crystal system = orthorhombic
- calculated volume (Å³ per cell) = 72.78
- E_form (eV per atom) = -0.03
- N(E_F) (states/eV/cell) = 1.32
- total energy (eV per atom) = -7.8341


# 6
# Al3CrO

A PBEsol-optimized structure of Al3CrO (meta-GGA SCAN, Alexandria via LeMat-Bulk).

Lattice parameters (Å, degrees): 3.9843 3.9843 3.9843 90.00 90.00 90.00
Last column: magnetic moment on the atom in μB.
Sites, in units of the cell vectors:
Al 0.5000 0.0000 0.0000  -0.07
Al 0.0000 0.5000 0.0000  -0.07
O 0.0000 0.0000 0.0000  -0.08
Al 0.0000 0.0000 0.5000  -0.07
Cr 0.5000 0.5000 0.5000  2.77

Output
- crystal system = cubic
- calculated volume (Å³ per cell) = 63.25
- N(E_F) (states/eV/cell) = 2.12
- energy relative to the elements, uncorrected (eV/f.u.) = -2.60
- total energy (eV per atom) = -10.0952


# 7
# Co2GeRuN

A PBEsol-optimized structure of Co2GeRuN (meta-GGA SCAN, Alexandria via LeMat-Bulk).

Lattice parameters (Å, degrees): 3.7045 3.7045 4.0283 90.00 90.00 90.00
Last column: magnetic moment on the atom in μB.
Sites, in units of the cell vectors:
Ru 0.0000 0.0000 0.5000  0.70
Co 0.0000 0.5000 0.0000  1.29
Co 0.5000 0.0000 0.0000  1.29
N 0.0000 0.0000 0.0000  0.15
Ge 0.5000 0.5000 0.5000  0.06

Output
- crystal system = tetragonal
- calculated volume (Å³ per cell) = 55.28
- N(E_F) (states/eV/cell) = 2.96
- energy relative to the elements, uncorrected (eV/f.u.) = 0.66
- total energy (eV per atom) = -19.4312


# 8
# SiMoRu2

A PBEsol-optimized structure of SiMoRu2 (meta-GGA SCAN, Alexandria via LeMat-Bulk).

Lattice parameters (Å, degrees): 2.8484 2.8484 6.5274 90.00 90.00 90.00
Sites, in units of the cell vectors:
Ru 0.0000 0.0000 0.2197
Ru 0.0000 0.0000 0.7803
Si 0.5000 0.5000 0.0000
Mo 0.5000 0.5000 0.5000

Output
- crystal system = tetragonal
- calculated volume (Å³ per cell) = 52.96
- N(E_F) (states/eV/cell) = 2.16
- energy relative to the elements, uncorrected (eV/f.u.) = -1.76
- total energy (eV per atom) = -29.0783


# 9
# CrReW2

A PBEsol-optimized structure of CrReW2 (meta-GGA SCAN, Alexandria via LeMat-Bulk).

Lattice parameters (Å, degrees): 3.0669 4.3559 5.0626 115.48 107.63 90.00
Sites, in units of the cell vectors:
W 0.7455 0.7455 0.4910
Re 0.5000 0.0000 0.0000
Cr 0.0000 0.5000 0.0000
W 0.2545 0.2545 0.5090

Output
- crystal system = orthorhombic
- calculated volume (Å³ per cell) = 57.51
- E_form (eV per atom) = 0.03
- N(E_F) (states/eV/cell) = 2.95
- E above lowest polymorph (meV/atom) = 37
- total energy (eV per atom) = -57.1841


# 10
# Zn4Hg

A PBEsol-optimized structure of Zn4Hg (meta-GGA SCAN, Alexandria via LeMat-Bulk).

Lattice parameters (Å, degrees): 3.9645 4.8846 4.8846 80.52 66.06 66.06
Sites, in units of the cell vectors:
Zn 0.4062 0.7833 0.4044
Zn 0.1894 0.4044 0.2167
Zn 0.5938 0.2167 0.5956
Hg 0.0000 0.0000 0.0000
Zn 0.8106 0.5956 0.7833

Output
- crystal system = tetragonal
- calculated volume (Å³ per cell) = 79.01
- E_form (eV per atom) = 0.12
- N(E_F) (states/eV/cell) = 1.60
- E above lowest polymorph (meV/atom) = 0
- total energy (eV per atom) = -24.3290


# 11
# ZnHgBr2

A PBEsol-optimized structure of ZnHgBr2 (meta-GGA SCAN, Alexandria via LeMat-Bulk).

Lattice parameters (Å, degrees): 3.5175 5.8453 5.8453 68.27 72.49 72.49
Sites, in units of the cell vectors:
Hg 0.5257 0.4743 0.4743
Zn 0.2498 0.2502 0.2502
Br 0.9424 0.0576 0.0576
Br 0.7821 0.7179 0.7179

Output
- crystal system = orthorhombic
- calculated volume (Å³ per cell) = 104.01
- E above lowest polymorph (meV/atom) = 259
- energy relative to the elements, uncorrected (eV/f.u.) = -1.51
- total energy (eV per atom) = -30.5266


# 12
# BaLiIn3

A PBEsol-optimized structure of BaLiIn3 (meta-GGA SCAN, Alexandria via LeMat-Bulk).

Lattice parameters (Å, degrees): 6.2479 6.2479 6.2479 90.00 90.00 90.00
Last column: magnetic moment on the atom in μB.
Sites, in units of the cell vectors:
Ba 0.0000 0.0000 0.0000  0.30
In 0.5000 0.0000 0.0000  0.15
In 0.0000 0.0000 0.5000  0.15
In 0.0000 0.5000 0.0000  0.15
Li 0.5000 0.5000 0.5000  0.00

Output
- crystal system = cubic
- calculated volume (Å³ per cell) = 243.90
- E_form (eV per atom) = 0.73
- N(E_F) (states/eV/cell) = 4.82
- total energy (eV per atom) = -27.6942